Entry 1:
# Rb2Tm2TiSe6

An optimized crystal structure of Rb2Tm2TiSe6 (PBE, Alexandria via LeMat-Bulk).

Geometry as CIF:
```
data_Rb2Tm2TiSe6
_chemical_formula_sum 'Rb4 Tm4 Ti2 Se12'
_cell_length_a 6.9366
_cell_length_b 11.9154
_cell_length_c 8.5359
_cell_angle_alpha 90.00
_cell_angle_beta 106.53
_cell_angle_gamma 90.00
_symmetry_space_group_name_H-M 'C 1 2/m 1'
_symmetry_Int_Tables_number 12
_symmetry_space_group_name_Hall '-C 2y'
loop_
_atom_site_label
_atom_site_fract_x
_atom_site_fract_y
_atom_site_fract_z
Rb1 0.0000 0.1718 0.0000
Tm1 0.0000 0.3325 0.5000
Ti1 0.0000 0.0000 0.5000
Se1 0.2220 0.1545 0.6868
Se2 0.2453 0.0000 0.3154
```

Raw formation energy ... -1536 meV/atom

Entry 2:
# Pm8PdPb2

An optimized crystal structure of Pm8PdPb2 (PBE, Alexandria via LeMat-Bulk).

Geometry as CIF:
```
data_Pm8PdPb2
_chemical_formula_sum 'Pm16 Pd2 Pb4'
_cell_length_a 19.7547
_cell_length_b 5.1097
_cell_length_c 6.9910
_cell_angle_alpha 90.00
_cell_angle_beta 103.94
_cell_angle_gamma 90.00
_symmetry_space_group_name_H-M 'C 1 2/m 1'
_symmetry_Int_Tables_number 12
_symmetry_space_group_name_Hall '-C 2y'
loop_
_atom_site_label
_atom_site_fract_x
_atom_site_fract_y
_atom_site_fract_z
Pm1 0.0149 0.0000 0.2777
Pm2 0.0912 0.5000 0.9762
Pm3 0.1470 0.5000 0.5060
Pm4 0.2145 0.0000 0.8265
Pd1 0.0000 0.5000 0.5000
Pb1 0.1821 0.0000 0.2644
```

Energy relative to the elements ... -3.7 eV per formula unit
Fermi-level density of states ... 9.27 states/eV/f.u.

Entry 3:
# Na3Zr3FeS8

An optimized crystal structure of Na3Zr3FeS8 (PBE, Alexandria via LeMat-Bulk).

Geometry as CIF:
```
data_Na3Zr3FeS8
_chemical_formula_sum 'Na9 Zr9 Fe3 S24'
_cell_length_a 7.3428
_cell_length_b 7.3428
_cell_length_c 20.5103
_cell_angle_alpha 90.00
_cell_angle_beta 90.00
_cell_angle_gamma 120.00
_symmetry_space_group_name_H-M 'R -3 m'
_symmetry_Int_Tables_number 166
_symmetry_space_group_name_Hall '-R 3 2"'
loop_
_atom_site_label
_atom_site_fract_x
_atom_site_fract_y
_atom_site_fract_z
Na1 0.0000 0.5000 0.0000
Zr1 0.0000 0.5000 0.5000
Fe1 0.0000 0.0000 0.5000
S1 0.0000 0.0000 0.2413
S2 0.0043 0.5021 0.2375
```

Raw formation energy ... -1290 meV/atom
Fermi-level density of states ... 7.88 states/eV/f.u.

Number 1: mass density 5.1 g/cm3. Number 2: mass density 8.2 g/cm3. Number 3: mass density 3.4 g/cm3.